Compound: Al2Co2Cu
Source: the Alexandria database
Functional: PBE-GGA
Structure: relaxed

a b c (Å): 3.626 3.626 10.662
angles (deg): 90.00 90.00 90.00
Space group I4/mmm (No. 139)
Inequivalent atoms, fractional coordinates:
Al: 0.000 0.500 0.250 [4 per cell]
Co: 0.000 0.000 0.102 [4 per cell]
Cu: 0.000 0.000 0.500 [2 per cell]

Properties
* calculated density: 5.58 g/cm³
* DFT formation energy: 205 meV per atom
* electronic total energy: -4.95 eV/atom
* Fermi-level density of states: 1.267 states/eV/atom
* E above lowest polymorph: 0.441 eV per atom



Compound: Al4Co3Cu
Source: the Alexandria database
Functional: PBE-GGA
Structure: relaxed

a b c (Å): 2.853 2.853 11.817
angles (deg): 90.00 90.00 90.00
Space group P4/mmm (No. 123)
Inequivalent atoms, fractional coordinates:
Al: 0.000 0.000 0.122 [2 per cell]
Al: 0.000 0.000 0.363 [2 per cell]
Co: 0.500 0.500 0.000 [1 per cell]
Co: 0.500 0.500 0.243 [2 per cell]
Cu: 0.500 0.500 0.500 [1 per cell]

Properties
* calculated density: 6.01 g/cm³
* DFT formation energy: -512 meV per atom
* electronic total energy: -5.56 eV/atom
* Fermi-level density of states: 0.431 states/eV/atom



Compound: Al6CoCu3
Source: the Alexandria database
Functional: PBE-GGA
Structure: relaxed

a b c (Å): 7.117 9.952 4.075
angles (deg): 90.00 90.00 90.00
Space group Pnnm (No. 58)
Inequivalent atoms, fractional coordinates:
Al: 0.008 0.246 0.000 [4 per cell]
Al: 0.154 0.075 0.500 [4 per cell]
Al: 0.191 0.389 0.500 [4 per cell]
Co: 0.000 0.000 0.000 [2 per cell]
Cu: 0.000 0.500 0.000 [2 per cell]
Cu: 0.163 0.640 0.500 [4 per cell]

Properties
* calculated density: 4.73 g/cm³
* DFT formation energy: -235 meV per atom
* electronic total energy: -4.42 eV/atom
* Fermi-level density of states: 0.375 states/eV/atom
* E above lowest polymorph: 0.066 eV per atom



Compound: Al6Co5Cu
Source: the Alexandria database
Functional: PBE-GGA
Structure: relaxed

a b c (Å): 4.091 5.681 6.468
angles (deg): 90.00 108.05 90.00
Space group P2/m (No. 10)
Inequivalent atoms, fractional coordinates:
Al: 0.000 0.244 0.000 [2 per cell]
Al: 0.329 0.247 0.660 [4 per cell]
Co: 0.165 0.000 0.329 [2 per cell]
Co: 0.167 0.500 0.331 [2 per cell]
Co: 0.500 0.000 0.000 [1 per cell]
Cu: 0.500 0.500 0.000 [1 per cell]

Properties
* calculated density: 6.04 g/cm³
* DFT formation energy: -523 meV per atom
* electronic total energy: -5.70 eV/atom
* Fermi-level density of states: 0.575 states/eV/atom



Compound: AlCo2Cu
Source: the Alexandria database
Functional: PBE-GGA
Structure: relaxed

a b c (Å): 2.6084 2.6084 24.4286
angles (deg): 90.00 90.00 120.00
Space group R3m (No. 160, hexagonal axes)
Inequivalent atoms, fractional coordinates:
Al: 0.0000 0.0000 0.0000 [3 per cell]
Co: 0.0000 0.0000 0.2516 [3 per cell]
Co: 0.0000 0.0000 0.5066 [3 per cell]
Cu: 0.0000 0.0000 0.7539 [3 per cell]

Properties
* calculated density: 7.21 g/cm³
* DFT formation energy: -2 meV per atom
* electronic total energy: -5.51 eV/atom
* Fermi-level density of states: 0.998 states/eV/atom



Compound: AlCo2Cu
Source: the Alexandria database
Functional: PBE-GGA
Structure: relaxed

a b c (Å): 2.5996 2.5996 24.3359
angles (deg): 90.00 90.00 120.00
Space group R-3m (No. 166, hexagonal axes)
Inequivalent atoms, fractional coordinates:
Al: 0.0000 0.0000 0.0000 [3 per cell]
Co: 0.0000 0.0000 0.2516 [6 per cell]
Cu: 0.0000 0.0000 0.5000 [3 per cell]

Properties
* calculated density: 7.29 g/cm³
* DFT formation energy: -11 meV per atom
* electronic total energy: -5.52 eV/atom
* Fermi-level density of states: 0.953 states/eV/atom



Compound: Al2Co2Cu
Source: the Alexandria database
Functional: PBE-GGA
Structure: relaxed

a b c (Å): 6.732 6.732 2.750
angles (deg): 90.00 90.00 90.00
Space group P4/mbm (No. 127)
Inequivalent atoms, fractional coordinates:
Al: 0.142 0.358 0.000 [4 per cell]
Co: 0.155 0.655 0.500 [4 per cell]
Cu: 0.000 0.000 0.000 [2 per cell]

Properties
* calculated density: 6.27 g/cm³
* DFT formation energy: -225 meV per atom
* electronic total energy: -5.38 eV/atom
* Fermi-level density of states: 0.537 states/eV/atom
* E above lowest polymorph: 0.010 eV per atom



Compound: AlCoCu
Source: the Alexandria database
Functional: PBE-GGA
Structure: relaxed

a b c (Å): 5.552 5.552 5.552
angles (deg): 90.00 90.00 90.00
Space group F-43m (No. 216)
Inequivalent atoms, fractional coordinates:
Al: 0.000 0.000 0.000 [4 per cell]
Co: 0.250 0.250 0.250 [4 per cell]
Cu: 0.000 0.000 0.500 [4 per cell]

Properties
* calculated density: 5.80 g/cm³
* DFT formation energy: 126 meV per atom
* electronic total energy: -4.86 eV/atom
* Fermi-level density of states: 0.396 states/eV/atom
* E above lowest polymorph: 0.413 eV per atom



Compound: Al2CoCu2
Source: the Alexandria database
Functional: PBE-GGA
Structure: relaxed

a b c (Å): 6.774 6.774 2.873
angles (deg): 90.00 90.00 90.00
Space group P4/mbm (No. 127)
Inequivalent atoms, fractional coordinates:
Al: 0.155 0.345 0.000 [4 per cell]
Co: 0.000 0.000 0.000 [2 per cell]
Cu: 0.143 0.643 0.500 [4 per cell]

Properties
* calculated density: 6.05 g/cm³
* DFT formation energy: -8 meV per atom
* electronic total energy: -4.57 eV/atom
* Fermi-level density of states: 0.609 states/eV/atom
* E above lowest polymorph: 0.222 eV per atom



Compound: AlCo2Cu
Source: the Alexandria database
Functional: PBE-GGA
Structure: relaxed

a b c (Å): 2.843 4.066 8.142
angles (deg): 90.00 90.00 90.00
Space group Imm2 (No. 44)
Inequivalent atoms, fractional coordinates:
Al: 0.000 0.000 0.000 [2 per cell]
Co: 0.000 0.000 0.491 [2 per cell]
Co: 0.000 0.500 0.750 [2 per cell]
Cu: 0.000 0.500 0.247 [2 per cell]

Properties
* calculated density: 7.35 g/cm³
* DFT formation energy: -121 meV per atom
* electronic total energy: -5.63 eV/atom
* Fermi-level density of states: 0.977 states/eV/atom



Compound: Al7Co2Cu
Source: the Alexandria database
Functional: PBE-GGA
Structure: relaxed

a b c (Å): 6.286 6.286 14.641
angles (deg): 90.00 90.00 90.00
Space group P4/mnc (No. 128)
Inequivalent atoms, fractional coordinates:
Al: 0.000 0.000 0.112 [4 per cell]
Al: 0.095 0.295 0.408 [16 per cell]
Al: 0.149 0.649 0.250 [8 per cell]
Co: 0.088 0.710 0.000 [8 per cell]
Cu: 0.000 0.000 0.291 [4 per cell]

Properties
* calculated density: 4.25 g/cm³
* DFT formation energy: -293 meV per atom
* electronic total energy: -4.74 eV/atom
* Fermi-level density of states: 0.264 states/eV/atom



Compound: AlCo2Cu
Source: the Alexandria database
Functional: PBE-GGA
Structure: relaxed

a b c (Å): 8.530 2.675 4.247
angles (deg): 90.00 104.46 90.00
Space group Cm (No. 8)
Inequivalent atoms, fractional coordinates:
Al: 0.000 0.000 0.000 [2 per cell]
Co: 0.010 0.500 0.511 [2 per cell]
Co: 0.250 0.000 0.738 [2 per cell]
Cu: 0.256 0.500 0.251 [2 per cell]

Properties
* calculated density: 7.38 g/cm³
* DFT formation energy: -125 meV per atom
* electronic total energy: -5.64 eV/atom
* Fermi-level density of states: 0.825 states/eV/atom